Here is a relaxed structure of NpNiPt from the Open Quantum Materials Database. Energies are from PBE.

Lattice parameters (Å, degrees): 6.053 6.053 6.053 90.00 90.00 90.00
Sites, in units of the cell vectors:
1 Np 0.000 0.000 0.000
2 Np 0.000 0.500 0.500
3 Np 0.500 0.000 0.500
4 Np 0.500 0.500 0.000
5 Ni 0.250 0.250 0.750
6 Ni 0.250 0.750 0.250
7 Ni 0.750 0.250 0.250
8 Ni 0.750 0.750 0.750
9 Pt 0.000 0.000 0.500
10 Pt 0.000 0.500 0.000
11 Pt 0.500 0.000 0.000
12 Pt 0.500 0.500 0.500

energy above the lowest structure with this stoichiometry: 0 kJ/mol of formula units
E_form: 0.066 eV/atom
electronic total energy: -96.78 eV/cell